[1]
Computed, not measured: a geometry-optimized CeDy2O structure at the GGA-PBE level of DFT.

Computed properties:
DOS(E_F) ... 6.3 states/eV/cell
Size of the total moment ... 0.70 μB/f.u.
E_form (uncorrected) ... -0.82 eV per atom
Excess energy over the best structure of this formula in the dataset ... 1.46 eV/f.u.
Mass density ... 9.3 g/cm3
Energy ... -23.4 eV/f.u.

POSCAR file:
```
CeDy2O
1.0
-2.074 -0.321 -2.335
1.531 -2.548 -1.010
-4.975 -5.014 5.107
O Dy Ce
1 2 1
direct
0.500 0.500 0.000
0.000 0.000 0.823
0.000 0.000 0.177
0.500 0.500 0.500
```



[2]
Computed, not measured: a geometry-optimized Rb2CaTlBr6 structure at the GGA-PBE level of DFT.

Computed properties:
DOS(E_F) ... 7.8 states/eV/cell
Size of the total moment ... 0.00 μB/f.u.
E_form (uncorrected) ... -1.44 eV per atom
Excess energy over the best structure of this formula in the dataset ... 0.00 eV/f.u.
Mass density ... 3.7 g/cm3
Energy ... -30.7 eV/f.u.

POSCAR file:
```
Rb2CaTlBr6
1.0
8.253 0.000 0.000
0.000 8.278 0.000
0.000 0.000 11.712
Br Rb Tl Ca
12 4 2 2
direct
0.743 0.972 0.500
0.257 0.972 0.500
0.757 0.028 0.000
0.000 0.768 0.255
0.243 0.028 0.000
0.500 0.232 0.245
0.791 0.453 0.500
0.500 0.232 0.755
0.000 0.768 0.745
0.291 0.547 0.000
0.209 0.453 0.500
0.709 0.547 0.000
0.000 0.200 0.278
0.500 0.800 0.778
0.000 0.200 0.722
0.500 0.800 0.222
0.000 0.749 0.000
0.500 0.251 0.500
0.500 0.263 0.000
0.000 0.737 0.500
```